[1]
Material: CaAgGe3
Method: DFT, PBE-GGA
State: optimized geometry

It has space group Pm-3m (No. 221), with a = 5.070 Å, b = 5.070 Å, c = 5.070 Å, α = 90.00°, β = 90.00° and γ = 90.00°. The inequivalent atoms are Ca at (0.000, 0.000, 0.000), Ag at (0.500, 0.500, 0.500) and Ge at (0.000, 0.500, 0.500).

The value obtained for the magnetization is 0.00 Bohr magnetons per cell. For the energy relative to the elements, the calculation gives 302 meV/atom. As for the density of states at the Fermi level: 0.633 states/eV per atom. For the distance to the lowest polymorph of the same formula, the calculation gives 0 meV per atom. As for the crystal system: cubic. For the density, the calculation gives 4.7 g/cm³.

[2]
Material: Ca5Ag4Ge
Method: DFT, PBE-GGA
State: optimized geometry

It has space group P4/mmm (No. 123), with a = 3.677 Å, b = 3.677 Å, c = 18.719 Å, α = 90.00°, β = 90.00° and γ = 90.00°. The inequivalent atoms are Ca at (0.000, 0.000, 0.000), Ca at (0.000, 0.000, 0.200), Ca at (0.000, 0.000, 0.403), Ag at (0.500, 0.500, 0.100), Ag at (0.500, 0.500, 0.299) and Ge at (0.500, 0.500, 0.500).

The value obtained for the magnetization is 0.00 Bohr magnetons per cell. For the energy relative to the elements, the calculation gives -363 meV/atom. As for the density of states at the Fermi level: 0.717 states/eV per atom. As for the crystal system: tetragonal. For the density, the calculation gives 4.6 g/cm³.

[3]
Material: CaAg2Ge
Method: DFT, PBE-GGA
State: optimized geometry

It has space group R3m (No. 160, hexagonal axes), with a = 4.6569 Å, b = 4.6569 Å, c = 27.4235 Å, α = 90.00°, β = 90.00° and γ = 120.00°. The inequivalent atoms are Ca at (0.0000, 0.0000, 0.0000), Ca at (0.0000, 0.0000, 0.1299), Ag at (0.0000, 0.0000, 0.2472), Ag at (0.0000, 0.0000, 0.3982), Ag at (0.0000, 0.0000, 0.6191), Ag at (0.0000, 0.0000, 0.8759), Ge at (0.0000, 0.0000, 0.5243) and Ge at (0.0000, 0.0000, 0.7208).

The value obtained for the magnetization is 0.00 Bohr magnetons per cell. For the energy relative to the elements, the calculation gives -296 meV/atom. As for the density of states at the Fermi level: 0.335 states/eV per atom. As for the crystal system: trigonal. For the density, the calculation gives 6.4 g/cm³.

[4]
Material: Ca3Ag2Ge
Method: DFT, PBE-GGA
State: optimized geometry

It has space group P-3m1 (No. 164), with a = 5.1867 Å, b = 5.1867 Å, c = 12.7870 Å, α = 90.00°, β = 90.00° and γ = 120.00°. The inequivalent atoms are Ca at (0.0000, 0.0000, 0.2446), Ca at (0.3333, 0.6667, 0.4116), Ca at (0.3333, 0.6667, 0.9180), Ag at (0.0000, 0.0000, 0.0000), Ag at (0.0000, 0.0000, 0.5000), Ag at (0.3333, 0.6667, 0.6638) and Ge at (0.3333, 0.6667, 0.1678).

The value obtained for the magnetization is 0.00 Bohr magnetons per cell. For the energy relative to the elements, the calculation gives -441 meV/atom. As for the density of states at the Fermi level: 0.220 states/eV per atom. As for the crystal system: trigonal. For the density, the calculation gives 4.6 g/cm³.

[5]
Material: Ca2Ag2Ge
Method: DFT, PBE-GGA
State: optimized geometry

It has space group P4/mbm (No. 127), with a = 7.624 Å, b = 7.624 Å, c = 4.169 Å, α = 90.00°, β = 90.00° and γ = 90.00°. The inequivalent atoms are Ca at (0.179, 0.321, 0.000), Ag at (0.127, 0.627, 0.500) and Ge at (0.000, 0.000, 0.500).

The value obtained for the magnetization is 0.00 Bohr magnetons per cell. For the energy relative to the elements, the calculation gives -283 meV/atom. As for the density of states at the Fermi level: 0.444 states/eV per atom. For the distance to the lowest polymorph of the same formula, the calculation gives 116 meV per atom. As for the crystal system: tetragonal. For the density, the calculation gives 5.1 g/cm³.

[6]
Material: CaAg2Ge
Method: DFT, PBE-GGA
State: optimized geometry

It has space group I-42d (No. 122), with a = 4.802 Å, b = 4.802 Å, c = 17.770 Å, α = 90.00°, β = 90.00° and γ = 90.00°. The inequivalent atoms are Ca at (0.000, 0.000, 0.000), Ag at (0.136, 0.250, 0.625) and Ge at (0.000, 0.000, 0.500).

The value obtained for the magnetization is 0.00 Bohr magnetons per cell. For the energy relative to the elements, the calculation gives -14 meV/atom. As for the density of states at the Fermi level: 0.290 states/eV per atom. As for the crystal system: tetragonal. For the density, the calculation gives 5.3 g/cm³.

[7]
Material: CaAgGe
Method: DFT, PBE-GGA
State: optimized geometry

It has space group Cm (No. 8), with a = 9.240 Å, b = 7.052 Å, c = 4.644 Å, α = 90.00°, β = 120.07° and γ = 90.00°. The inequivalent atoms are Ca at (0.000, 0.000, 0.000), Ca at (0.060, 0.500, 0.060), Ag at (0.367, 0.221, 0.366) and Ge at (0.198, 0.193, 0.698).

The value obtained for the magnetization is 0.00 Bohr magnetons per cell. For the energy relative to the elements, the calculation gives -484 meV/atom. As for the density of states at the Fermi level: 0.276 states/eV per atom. As for the crystal system: monoclinic. For the density, the calculation gives 5.6 g/cm³.

[8]
Material: Ca2AgGe2
Method: DFT, PBE-GGA
State: optimized geometry

It has space group I4/mmm (No. 139), with a = 5.891 Å, b = 5.891 Å, c = 7.767 Å, α = 90.00°, β = 90.00° and γ = 90.00°. The inequivalent atoms are Ca at (0.000, 0.500, 0.250), Ag at (0.000, 0.000, 0.000) and Ge at (0.000, 0.000, 0.340).

The value obtained for the magnetization is 0.00 Bohr magnetons per cell. For the energy relative to the elements, the calculation gives -168 meV/atom. As for the density of states at the Fermi level: 0.864 states/eV per atom. For the distance to the lowest polymorph of the same formula, the calculation gives 384 meV per atom. As for the crystal system: tetragonal. For the density, the calculation gives 4.1 g/cm³.

[9]
Material: Ca3Ag8Ge
Method: DFT, PBE-GGA
State: optimized geometry

It has space group R3m (No. 160, hexagonal axes), with a = 5.6377 Å, b = 5.6377 Å, c = 28.3319 Å, α = 90.00°, β = 90.00° and γ = 120.00°. The inequivalent atoms are Ca at (0.0000, 0.0000, 0.0000), Ca at (0.0000, 0.0000, 0.1297), Ca at (0.0000, 0.0000, 0.5201), Ag at (0.0000, 0.0000, 0.3199), Ag at (0.0000, 0.0000, 0.8201), Ag at (0.0003, 0.5002, 0.0699), Ag at (0.1678, 0.3356, 0.9032) and Ge at (0.0000, 0.0000, 0.6390).

The value obtained for the magnetization is 0.00 Bohr magnetons per cell. For the energy relative to the elements, the calculation gives -191 meV/atom. As for the density of states at the Fermi level: 0.458 states/eV per atom. As for the crystal system: trigonal. For the density, the calculation gives 6.7 g/cm³.

[10]
Material: CaAg2Ge
Method: DFT, PBE-GGA
State: optimized geometry

It has space group C2/m (No. 12), with a = 10.704 Å, b = 4.577 Å, c = 6.971 Å, α = 90.00°, β = 90.47° and γ = 90.00°. The inequivalent atoms are Ca at (0.085, 0.000, 0.258), Ag at (0.142, 0.500, 0.954), Ag at (0.210, 0.000, 0.704) and Ge at (0.107, 0.500, 0.575).

The value obtained for the magnetization is 0.00 Bohr magnetons per cell. For the energy relative to the elements, the calculation gives -284 meV/atom. As for the density of states at the Fermi level: 0.431 states/eV per atom. As for the crystal system: monoclinic. For the density, the calculation gives 6.4 g/cm³.

[11]
Material: CaAg2Ge
Method: DFT, PBE-GGA
State: optimized geometry

It has space group R3m (No. 160, hexagonal axes), with a = 4.6575 Å, b = 4.6575 Å, c = 27.2727 Å, α = 90.00°, β = 90.00° and γ = 120.00°. The inequivalent atoms are Ca at (0.0000, 0.0000, 0.0000), Ca at (0.0000, 0.0000, 0.1299), Ag at (0.0000, 0.0000, 0.2478), Ag at (0.0000, 0.0000, 0.6107), Ag at (0.0000, 0.0000, 0.7268), Ag at (0.0000, 0.0000, 0.8720), Ge at (0.0000, 0.0000, 0.4088) and Ge at (0.0000, 0.0000, 0.5122).

The value obtained for the magnetization is 0.00 Bohr magnetons per cell. For the energy relative to the elements, the calculation gives -269 meV/atom. As for the density of states at the Fermi level: 0.358 states/eV per atom. As for the crystal system: trigonal. For the density, the calculation gives 6.4 g/cm³.

[12]
Material: CaAg2Ge
Method: DFT, PBE-GGA
State: optimized geometry

It has space group Cm (No. 8), with a = 10.423 Å, b = 4.510 Å, c = 7.281 Å, α = 90.00°, β = 91.75° and γ = 90.00°. The inequivalent atoms are Ca at (0.000, 0.000, 0.000), Ca at (0.159, 0.000, 0.516), Ag at (0.192, 0.500, 0.833), Ag at (0.218, 0.500, 0.218), Ag at (0.372, 0.500, 0.538), Ag at (0.438, 0.000, 0.300), Ge at (0.297, 0.000, 0.970) and Ge at (0.458, 0.000, 0.689).

The value obtained for the magnetization is 0.00 Bohr magnetons per cell. For the energy relative to the elements, the calculation gives -296 meV/atom. As for the density of states at the Fermi level: 0.443 states/eV per atom. As for the crystal system: monoclinic. For the density, the calculation gives 6.4 g/cm³.

[13]
Material: CaAg2Ge
Method: DFT, PBE-GGA
State: optimized geometry

It has space group P1 (No. 1), with a = 5.505 Å, b = 5.612 Å, c = 6.406 Å, α = 94.97°, β = 94.21° and γ = 118.32°. The inequivalent atoms are Ca at (0.000, 0.000, 0.000), Ca at (0.423, 0.427, 0.552), Ag at (0.052, 0.783, 0.438), Ag at (0.378, 0.677, 0.127), Ag at (0.671, 0.343, 0.128), Ag at (0.966, 0.463, 0.775), Ge at (0.461, 0.957, 0.770) and Ge at (0.752, 0.060, 0.442).

The value obtained for the magnetization is 0.00 Bohr magnetons per cell. For the energy relative to the elements, the calculation gives -244 meV/atom. As for the density of states at the Fermi level: 0.406 states/eV per atom. As for the crystal system: triclinic. For the density, the calculation gives 6.3 g/cm³.

[14]
Material: Ca2AgGe2
Method: DFT, PBE-GGA
State: optimized geometry

It has space group C2/m (No. 12), with a = 10.925 Å, b = 4.513 Å, c = 10.729 Å, α = 90.00°, β = 118.02° and γ = 90.00°. The inequivalent atoms are Ca at (0.014, 0.000, 0.329), Ca at (0.186, 0.000, 0.105), Ag at (0.226, 0.500, 0.349), Ge at (0.021, 0.500, 0.890) and Ge at (0.131, 0.500, 0.563).

The value obtained for the magnetization is 0.00 Bohr magnetons per cell. For the energy relative to the elements, the calculation gives -551 meV/atom. As for the density of states at the Fermi level: 0.346 states/eV per atom. For the distance to the lowest polymorph of the same formula, the calculation gives 0 meV per atom. As for the crystal system: monoclinic. For the density, the calculation gives 4.7 g/cm³.

[15]
Material: CaAg2Ge
Method: DFT, PBE-GGA
State: optimized geometry

It has space group Pm (No. 6), with a = 5.929 Å, b = 4.708 Å, c = 6.199 Å, α = 90.00°, β = 91.45° and γ = 90.00°. The inequivalent atoms are Ca at (0.000, 0.000, 0.000), Ca at (0.239, 0.500, 0.485), Ag at (0.363, 0.500, 0.987), Ag at (0.485, 0.000, 0.755), Ag at (0.494, 0.000, 0.235), Ag at (0.766, 0.500, 0.725), Ge at (0.750, 0.500, 0.241) and Ge at (0.873, 0.000, 0.502).

The value obtained for the magnetization is 0.00 Bohr magnetons per cell. For the energy relative to the elements, the calculation gives -220 meV/atom. As for the density of states at the Fermi level: 0.408 states/eV per atom. As for the crystal system: monoclinic. For the density, the calculation gives 6.3 g/cm³.

[16]
Material: CaAg2Ge
Method: DFT, PBE-GGA
State: optimized geometry

It has space group Cm (No. 8), with a = 8.050 Å, b = 4.620 Å, c = 5.447 Å, α = 90.00°, β = 119.14° and γ = 90.00°. The inequivalent atoms are Ca at (0.000, 0.000, 0.000), Ag at (0.027, 0.500, 0.578), Ag at (0.287, 0.500, 0.360) and Ge at (0.218, 0.000, 0.653).

The value obtained for the magnetization is 0.00 Bohr magnetons per cell. For the energy relative to the elements, the calculation gives -225 meV/atom. As for the density of states at the Fermi level: 0.316 states/eV per atom. As for the crystal system: monoclinic. For the density, the calculation gives 6.2 g/cm³.

[17]
Material: Ca3Ag2Ge4
Method: DFT, PBE-GGA
State: optimized geometry

It has space group C2/m (No. 12), with a = 11.179 Å, b = 4.428 Å, c = 8.688 Å, α = 90.00°, β = 105.76° and γ = 90.00°. The inequivalent atoms are Ca at (0.000, 0.000, 0.000), Ca at (0.168, 0.500, 0.668), Ag at (0.108, 0.500, 0.277), Ge at (0.067, 0.000, 0.410) and Ge at (0.200, 0.500, 0.031).

The value obtained for the magnetization is 0.00 Bohr magnetons per cell. For the energy relative to the elements, the calculation gives -456 meV/atom. As for the density of states at the Fermi level: 0.446 states/eV per atom. For the distance to the lowest polymorph of the same formula, the calculation gives 2 meV per atom. As for the crystal system: monoclinic. For the density, the calculation gives 5.0 g/cm³.

[18]
Material: Ca2Ag2Ge
Method: DFT, PBE-GGA
State: optimized geometry

It has space group I4/mmm (No. 139), with a = 5.878 Å, b = 5.878 Å, c = 7.685 Å, α = 90.00°, β = 90.00° and γ = 90.00°. The inequivalent atoms are Ca at (0.000, 0.500, 0.250), Ag at (0.000, 0.000, 0.168) and Ge at (0.000, 0.000, 0.500).

The value obtained for the magnetization is 0.00 Bohr magnetons per cell. For the energy relative to the elements, the calculation gives -173 meV/atom. As for the density of states at the Fermi level: 0.000 states/eV per atom. For the distance to the lowest polymorph of the same formula, the calculation gives 226 meV per atom. As for the crystal system: tetragonal. For the density, the calculation gives 4.6 g/cm³.

[19]
Material: Ca2Ag2Ge
Method: DFT, PBE-GGA
State: optimized geometry

It has space group C2/m (No. 12), with a = 10.816 Å, b = 4.462 Å, c = 11.285 Å, α = 90.00°, β = 115.42° and γ = 90.00°. The inequivalent atoms are Ca at (0.014, 0.000, 0.341), Ca at (0.196, 0.000, 0.117), Ag at (0.017, 0.500, 0.885), Ag at (0.152, 0.500, 0.555) and Ge at (0.221, 0.500, 0.335).

The value obtained for the magnetization is 0.00 Bohr magnetons per cell. For the energy relative to the elements, the calculation gives -366 meV/atom. As for the density of states at the Fermi level: 0.655 states/eV per atom. For the distance to the lowest polymorph of the same formula, the calculation gives 33 meV per atom. As for the crystal system: monoclinic. For the density, the calculation gives 5.0 g/cm³.

[20]
Material: CaAg2Ge
Method: DFT, PBE-GGA
State: optimized geometry

It has space group Cmcm (No. 63), with a = 4.459 Å, b = 10.247 Å, c = 7.472 Å, α = 90.00°, β = 90.00° and γ = 90.00°. The inequivalent atoms are Ca at (0.000, 0.067, 0.250), Ag at (0.000, 0.360, 0.057) and Ge at (0.000, 0.224, 0.750).

The value obtained for the magnetization is 0.00 Bohr magnetons per cell. For the energy relative to the elements, the calculation gives -285 meV/atom. As for the density of states at the Fermi level: 0.491 states/eV per atom. As for the crystal system: orthorhombic. For the density, the calculation gives 6.4 g/cm³.